Arrangement a

ZrZnP2: relaxed, PBE.

abc: 3.651 3.646 5.402
angles: 90.00 90.54 90.00
Space group Pm (No. 6)
Unique sites:
Zr 0.000 0.000 0.000 [1 per cell]
Zn 0.500 0.500 0.370 [1 per cell]
P 0.498 0.500 0.901 [1 per cell]
P 0.996 0.000 0.472 [1 per cell]

Arrangement b

ZrZnP2: relaxed, PBE.

abc: 4.343 4.343 3.436
angles: 90.00 90.00 90.00
Space group P4/mmm (No. 123)
Unique sites:
Zr 0.000 0.000 0.000 [1 per cell]
Zn 0.500 0.500 0.000 [1 per cell]
P 0.000 0.500 0.500 [2 per cell]

Arrangement c

ZrZnP2: relaxed, PBE.

abc: 3.750 4.670 8.424
angles: 90.00 90.00 90.00
Space group Cmm2 (No. 35)
Unique sites:
Zr 0.000 0.000 0.000 [2 per cell]
Zn 0.000 0.500 0.261 [2 per cell]
P 0.000 0.000 0.450 [2 per cell]
P 0.000 0.500 0.785 [2 per cell]

Most stable: arrangement a. Least stable: arrangement c.

Arrangement a

ZrZnP2: relaxed, PBE.

abc: 9.414 3.178 5.006
angles: 90.00 91.12 90.00
Space group C2/m (No. 12)
Unique sites:
Zr 0.000 0.000 0.000 [2 per cell]
Zn 0.000 0.500 0.500 [2 per cell]
P 0.228 0.500 0.157 [4 per cell]

Arrangement b

ZrZnP2: relaxed, PBE.

abc: 2.817 2.817 9.747
angles: 90.00 90.00 90.00
Space group P4mm (No. 99)
Unique sites:
Zr 0.000 0.000 0.000 [1 per cell]
Zn 0.500 0.500 0.767 [1 per cell]
P 0.000 0.000 0.586 [1 per cell]
P 0.500 0.500 0.207 [1 per cell]

Most stable: arrangement a. Least stable: arrangement b.

Arrangement a

ZrZnP2: relaxed, PBE.

abc: 4.080 4.080 7.781
angles: 90.00 90.00 90.00
Space group I4/mmm (No. 139)
Unique sites:
Zr 0.000 0.000 0.000 [2 per cell]
Zn 0.000 0.000 0.500 [2 per cell]
P 0.000 0.500 0.250 [4 per cell]

Arrangement b

ZrZnP2: relaxed, PBE.

abc: 3.467 3.459 5.596
angles: 90.00 90.43 90.00
Space group P2/m (No. 10)
Unique sites:
Zr 0.000 0.000 0.000 [1 per cell]
Zn 0.000 0.000 0.500 [1 per cell]
P 0.498 0.500 0.772 [2 per cell]

Most stable: arrangement b. Least stable: arrangement a.

Arrangement a

ZrP4: relaxed, PBE.

abc: 5.919 5.919 5.919
angles: 90.00 90.00 90.00
Space group Im-3m (No. 229)
Unique sites:
Zr 0.000 0.000 0.000 [2 per cell]
P 0.250 0.250 0.250 [8 per cell]

Arrangement b

ZrP4: relaxed, PBE.

abc: 5.002 5.002 5.002
angles: 90.00 90.00 90.00
Space group Pm-3m (No. 221)
Unique sites:
Zr 0.000 0.000 0.000 [1 per cell]
P 0.000 0.000 0.500 [3 per cell]
P 0.500 0.500 0.500 [1 per cell]

Arrangement c

ZrP4: relaxed, PBE.

abc: 3.409 3.409 17.315
angles: 90.00 90.00 90.00
Space group I4/mmm (No. 139)
Unique sites:
Zr 0.000 0.000 0.000 [2 per cell]
P 0.000 0.000 0.433 [4 per cell]
P 0.000 0.500 0.250 [4 per cell]

Arrangement d

ZrP4: relaxed, PBE.

abc: 7.066 7.066 3.358
angles: 90.00 90.00 90.00
Space group I4/m (No. 87)
Unique sites:
Zr 0.000 0.000 0.000 [2 per cell]
P 0.156 0.302 0.500 [8 per cell]

Most stable: arrangement d. Least stable: arrangement b.

Arrangement a

Zr4P: relaxed, PBE.

abc: 4.916 4.916 4.916
angles: 90.00 90.00 90.00
Space group Pm-3m (No. 221)
Unique sites:
Zr 0.000 0.000 0.000 [1 per cell]
Zr 0.000 0.500 0.500 [3 per cell]
P 0.500 0.500 0.500 [1 per cell]

Arrangement b

Zr4P: relaxed, PBE.

abc: 7.953 7.953 3.328
angles: 90.00 90.00 90.00
Space group I4/m (No. 87)
Unique sites:
Zr 0.073 0.278 0.000 [8 per cell]
P 0.000 0.000 0.500 [2 per cell]

Arrangement c

Zr4P: relaxed, PBE.

abc: 3.710 3.710 16.471
angles: 90.00 90.00 90.00
Space group I4/mmm (No. 139)
Unique sites:
Zr 0.000 0.000 0.086 [4 per cell]
Zr 0.000 0.500 0.250 [4 per cell]
P 0.000 0.000 0.500 [2 per cell]

Most stable: arrangement b. Least stable: arrangement c.

Arrangement a

Zr3P2: relaxed, PBE.

abc: 3.6544 3.6544 25.9795
angles: 90.00 90.00 120.00
Space group R-3m (No. 166, hexagonal axes)
Unique sites:
Zr 0.0000 0.0000 0.0000 [3 per cell]
Zr 0.0000 0.0000 0.2150 [6 per cell]
P 0.0000 0.0000 0.3944 [6 per cell]

Arrangement b

Zr3P2: relaxed, PBE.

abc: 8.746 13.321 6.399
angles: 90.00 90.00 90.00
Space group Fdd2 (No. 43)
Unique sites:
Zr 0.000 0.000 0.000 [8 per cell]
Zr 0.069 0.391 0.944 [16 per cell]
P 0.026 0.301 0.549 [16 per cell]

Most stable: arrangement a. Least stable: arrangement b.